Cd2SnC: optimized geometry, PBE.

## Properties
calculated formation energy: 1.0084 eV/atom
energy above the lowest structure with this stoichiometry: 0 meV/atom

The structure in POSCAR format:
```
Cd2SnC
1.0
-3.248 3.248 4.613
3.248 -3.248 4.613
3.248 3.248 -4.613
Cd Sn C
4 2 2
Direct
0.004 0.625 0.879
0.375 0.254 0.379
0.746 0.125 0.121
0.875 0.996 0.621
0.250 0.750 0.500
0.500 0.500 0.000
0.000 0.000 0.000
0.750 0.250 0.500
```

=====

MnCS2Cl: optimized geometry, PBE.

## Properties
raw formation energy: 7.3 eV per formula unit
energy above the lowest structure with this stoichiometry: 0 meV/atom

The structure in POSCAR format:
```
MnCS2Cl
1.0
4.301 0.000 0.000
0.000 4.301 0.000
0.000 0.000 4.899
Mn C S Cl
1 1 2 1
Direct
0.000 0.000 0.000
0.500 0.500 0.500
0.000 0.500 0.000
0.500 0.000 0.000
0.000 0.000 0.500
```

=====

Ba2MgB: optimized geometry, PBE.

## Properties
calculated formation energy: 0.3871 eV/atom
energy above the lowest structure with this stoichiometry: 0 meV/atom

The structure in POSCAR format:
```
Ba2MgB
1.0
-5.885 5.885 2.286
5.885 -5.885 2.286
5.885 5.885 -2.286
Ba Mg B
4 2 2
Direct
0.375 0.054 0.179
0.804 0.625 0.679
0.875 0.196 0.821
0.946 0.125 0.321
0.250 0.750 0.500
0.500 0.500 0.000
0.000 0.000 0.000
0.750 0.250 0.500
```

=====

LiMn4Pb: optimized geometry, PBE.

## Properties
calculated formation energy: 0.4494 eV/atom

The structure in POSCAR format:
```
LiMn4Pb
1.0
0.000 3.466 3.466
3.466 0.000 3.466
3.466 3.466 0.000
Li Mn Pb
1 4 1
Direct
0.000 0.000 0.000
0.374 0.374 0.374
0.374 0.374 0.879
0.374 0.879 0.374
0.879 0.374 0.374
0.750 0.750 0.750
```

=====

Er4MgAl2: optimized geometry, PBE.

## Properties
calculated formation energy: -0.0548 eV/atom
energy above the lowest structure with this stoichiometry: 136 meV/atom

The structure in POSCAR format:
```
Er4MgAl2
1.0
7.150 0.000 0.000
0.000 6.454 0.000
-3.173 0.000 8.061
Er Mg Al
8 2 4
Direct
0.039 0.250 0.410
0.105 0.750 0.267
0.396 0.013 0.766
0.396 0.487 0.766
0.604 0.513 0.234
0.604 0.987 0.234
0.895 0.250 0.733
0.961 0.750 0.590
0.206 0.250 0.097
0.794 0.750 0.903
0.219 0.750 0.968
0.480 0.250 0.471
0.520 0.750 0.529
0.781 0.250 0.032
```

=====

Ca2AsCl: optimized geometry, PBE.

## Properties
raw formation energy: -6.4 eV per formula unit

The structure in POSCAR format:
```
Ca2AsCl
1.0
4.249 0.000 0.000
0.000 4.249 0.000
0.000 0.000 5.776
Ca As Cl
2 1 1
Direct
0.000 0.000 0.000
0.500 0.500 0.500
0.000 0.000 0.500
0.500 0.500 0.000
```

=====

Computed total DFT energy (no corrections), in the same sequence as the records: -22.05, -21.20, -21.14, -39.60, -55.43, -16.95 eV for the cell shown.